This record from the Alexandria database describes crystalline ErSbAu at its relaxed geometry. The functional is PBE.

Cell: 4.2336 4.5002 4.5002 Å, 120.00 90.00 90.00°
With the nearest neighbours (Å) after each atom.
Fractional positions:
1 Au 0.0376 0.0000 0.0000  3 Sb 2.76, 3 Er 2.96
2 Sb 0.2598 0.3333 0.6667  3 Au 2.76
3 Er 0.7026 0.6667 0.3333  3 Au 2.96, 3 Sb 3.20

Properties
For the formation energy (no corrections), the calculation gives -0.740 eV/atom.

***

This record from the Alexandria database describes crystalline SmGd2Fe at its relaxed geometry. The functional is PBE.

Cell: 3.5088 3.5088 10.7782 Å, 80.63 80.63 60.00°
With the nearest neighbours (Å) after each atom.
Fractional positions:
1 Gd 0.1089 0.1089 0.6732  3 Fe 2.73
2 Gd 0.8911 0.8911 0.3268  3 Fe 2.73
3 Fe 0.5000 0.5000 0.5000  6 Gd 2.73
4 Sm 0.0000 0.0000 0.0000  2 Gd 3.46, 6 Sm 3.51

Properties
The formation enthalpy at 0 K is 353 meV/atom. For the energy relative to the lowest polymorph listed for this composition, the calculation gives 0.2690 eV per atom.

***

Short version: final energy = -14.2; -39.9 eV per cell, in the order given.
Short version: D(E_F) = 0.477; 1.363 states/eV per atom, in the order given.